# 1
Below is a relaxed Tb4Er3 crystal, with properties calculated at the PBE level.

a b c (Å): 4.991 7.890 6.109
angles (deg): 97.43 114.11 90.00
Element x y z (fractional)
Tb  0.857  0.572  0.714
Tb  0.714  0.142  0.429
Tb  0.286  0.858  0.571
Er  0.429  0.286  0.857
Tb  0.143  0.428  0.286
Er  0.571  0.714  0.143
Er  0.000  0.000  0.000

Values from the calculation:
Formation enthalpy at 0 K in meV per atom: 18
Total energy in eV/atom: -4.5835


# 2
Below is a relaxed Y2PPb crystal, with properties calculated at the PBE level.

a b c (Å): 5.214 5.214 5.214
angles (deg): 60.00 60.00 60.00
Element x y z (fractional)
Y  0.250  0.250  0.250
Y  0.750  0.750  0.750
Pb  0.500  0.500  0.500
P  0.000  0.000  0.000

Values from the calculation:
Formation enthalpy at 0 K in meV per atom: -537
Energy above the lowest structure with this stoichiometry in meV per atom: 548.0
Total energy in eV/atom: -6.0488


# 3
Below is a relaxed VZnRe crystal, with properties calculated at the PBE level.

a b c (Å): 4.347 3.108 6.708
angles (deg): 90.00 108.91 90.00
Element x y z (fractional)
V  0.083  0.750  0.165
Re  0.765  0.750  0.530
V  0.917  0.250  0.835
Zn  0.417  0.750  0.835
Zn  0.583  0.250  0.165
Re  0.235  0.250  0.470

Values from the calculation:
Formation enthalpy at 0 K in meV per atom: 30
Energy above the lowest structure with this stoichiometry in meV per atom: 92.3
Total energy in eV/atom: -7.5834


Number 1: total magnetization 0.00 μB/atom. Number 2: total magnetization 0.00 μB/atom. Number 3: total magnetization 0.00 μB/atom.